No. 1
Density functional theory data (PBE-GGA) for crystalline Bi2PdSF at its relaxed geometry.

Results
The value obtained for the distance to the lowest polymorph of the same formula is 0 meV/atom.

Cell lengths 5.4697, 5.4697, 3.8318 Å; angles 90.00, 90.00, 90.00 degrees
Closest atoms and distances in Å follow each position.
Atoms (fractional coordinates):
Bi 0.0000 0.5000 0.0000  2 S 2.73
Bi 0.5000 0.0000 0.0000  2 S 2.73
Pd 0.0000 0.0000 0.5000  8 Bi 3.34
S 0.5000 0.5000 0.0000  2 F 1.92
F 0.5000 0.5000 0.5000  2 S 1.92

=====

No. 2
Density functional theory data (PBE-GGA) for crystalline Bi2PdSF at its relaxed geometry.

Results
The value obtained for the distance to the lowest polymorph of the same formula is 104 meV/atom.

Cell lengths 4.8514, 4.8514, 4.6982 Å; angles 90.00, 90.00, 90.00 degrees
Closest atoms and distances in Å follow each position.
Atoms (fractional coordinates):
Bi 0.0000 0.5000 0.0000  2 F 2.43
Bi 0.5000 0.0000 0.0000  2 F 2.43
Pd 0.0000 0.0000 0.5000  8 Bi 3.38, 4 S 3.43
S 0.5000 0.5000 0.5000  2 F 2.35
F 0.5000 0.5000 0.0000  2 S 2.35, 4 Bi 2.43

=====

No. 3
Density functional theory data (PBE-GGA) for crystalline ScBiPd2F at its relaxed geometry.

Cell lengths 4.4856, 4.4856, 4.8411 Å; angles 90.00, 90.00, 90.00 degrees
Closest atoms and distances in Å follow each position.
Atoms (fractional coordinates):
Sc 0.0000 0.0000 0.0000  4 Bi 3.17, 8 Pd 3.30
Bi 0.5000 0.5000 0.0000  2 F 2.42
Pd 0.0000 0.5000 0.5000  2 F 2.24
Pd 0.5000 0.0000 0.5000  2 F 2.24
F 0.5000 0.5000 0.5000  4 Pd 2.24, 2 Bi 2.42

=====

Across the entries above, total DFT energy (no corrections) takes the values -19.26 -18.74 -24.17 eV/cell, respectively.
Across the entries above, E_form (uncorrected) takes the values -61 43 -340 meV/atom, respectively.